[1]
A plane-wave DFT calculation with PBE was carried out for a relaxed structure of TmZrGaRu.

The structure belongs to space group F-43m (No. 216); the cell edges are 6.7665, 6.7665 and 6.7665 Å and the angles 90.00°, 90.00° and 90.00°. Symmetry generates all atoms from Tm at (0.0000, 0.0000, 0.0000), Zr at (0.0000, 0.0000, 0.5000), Ga at (0.2500, 0.2500, 0.2500) and Ru at (0.2500, 0.2500, 0.7500).

The value obtained for the spin magnetization is 0.0000 μB/atom. The value obtained for the formation energy is -0.462 eV/atom. The calculation puts the total energy at -27.17 eV/f.u.

[2]
A plane-wave DFT calculation with PBE was carried out for a relaxed structure of UGa2Ru4.

The structure belongs to space group Cmmm (No. 65); the cell edges are 6.1160, 8.7943 and 4.2697 Å and the angles 90.00°, 90.00° and 90.00°. Symmetry generates all atoms from U at (0.0000, 0.0000, 0.0000), Ga at (0.0000, 0.2621, 0.5000), Ru at (0.2458, 0.5000, 0.5000) and Ru at (0.2500, 0.2500, 0.0000).

The value obtained for the spin magnetization is 0.0000 μB/atom. The value obtained for the formation energy is -0.176 eV/atom. The calculation puts the total energy at -55.68 eV/f.u.

[3]
A plane-wave DFT calculation with PBE was carried out for a relaxed structure of U2GaRu2.

The structure belongs to space group P2_1/c (No. 14); the cell edges are 7.9833, 7.0946 and 7.0648 Å and the angles 90.00°, 114.97° and 90.00°. Symmetry generates all atoms from U at (0.0828, 0.2334, 0.0432), U at (0.2207, 0.5656, 0.0013), Ga at (0.4488, 0.1936, 0.9663), Ru at (0.1737, 0.5480, 0.3721) and Ru at (0.4149, 0.5318, 0.7800).

The value obtained for the spin magnetization is 0.1670 μB/atom. The value obtained for the formation energy is -0.224 eV/atom. The calculation puts the total energy at -45.27 eV/f.u.

[4]
A plane-wave DFT calculation with PBE was carried out for a relaxed structure of UGaRu.

The structure belongs to space group P-62m (No. 189); the cell edges are 6.8165, 6.8165 and 4.0961 Å and the angles 90.00°, 90.00° and 120.00°. Symmetry generates all atoms from U at (0.0000, 0.4223, 0.0000), Ga at (0.0000, 0.7628, 0.5000), Ru at (0.0000, 0.0000, 0.0000) and Ru at (0.3333, 0.6667, 0.5000).

The value obtained for the spin magnetization is 0.5404 μB/atom. The value obtained for the formation energy is -0.348 eV/atom. The calculation puts the total energy at -24.64 eV/f.u.

[5]
A plane-wave DFT calculation with PBE was carried out for a relaxed structure of UGa2Ru3.

The structure belongs to space group Cmmm (No. 65); the cell edges are 4.3228, 12.7244 and 3.4201 Å and the angles 90.00°, 90.00° and 90.00°. Symmetry generates all atoms from U at (0.0000, 0.0000, 0.0000), Ga at (0.0000, 0.3279, 0.0000), Ru at (0.0000, 0.1665, 0.5000) and Ru at (0.0000, 0.5000, 0.5000).

The value obtained for the spin magnetization is 0.0000 μB/atom. The value obtained for the formation energy is -0.400 eV/atom. The calculation puts the total energy at -47.57 eV/f.u.

[6]
A plane-wave DFT calculation with PBE was carried out for a relaxed structure of UGaRu.

The structure belongs to space group P-1 (No. 2); the cell edges are 6.1088, 6.1826 and 6.2236 Å and the angles 84.00°, 73.65° and 76.18°. Symmetry generates all atoms from U at (0.0717, 0.1758, 0.0406), U at (0.2908, 0.5889, 0.6198), Ga at (0.1270, 0.1338, 0.5444), Ga at (0.4336, 0.7252, 0.0829), Ru at (0.1718, 0.4542, 0.2482) and Ru at (0.4438, 0.9734, 0.7377).

The value obtained for the spin magnetization is 0.3924 μB/atom. The value obtained for the formation energy is -0.223 eV/atom. The calculation puts the total energy at -24.26 eV/f.u.

[7]
A plane-wave DFT calculation with PBE was carried out for a relaxed structure of UGaRu.

The structure belongs to space group P-6m2 (No. 187); the cell edges are 4.4740, 4.4740 and 3.0937 Å and the angles 90.00°, 90.00° and 120.00°. Symmetry generates all atoms from U at (0.0000, 0.0000, 0.0000), Ga at (0.3333, 0.6667, 0.5000) and Ru at (0.6667, 0.3333, 0.5000).

The value obtained for the spin magnetization is 0.1710 μB/atom. The value obtained for the formation energy is -0.248 eV/atom. The calculation puts the total energy at -24.33 eV/f.u.

[8]
A plane-wave DFT calculation with PBE was carried out for a relaxed structure of U2GaRu3.

The structure belongs to space group R-3m (No. 166, hexagonal axes); the cell edges are 5.5926, 5.5926 and 11.4116 Å and the angles 90.00°, 90.00° and 120.00°. Symmetry generates all atoms from U at (0.0000, 0.0000, 0.1219), Ga at (0.0000, 0.0000, 0.5000) and Ru at (0.0000, 0.5000, 0.0000).

The value obtained for the spin magnetization is 0.3132 μB/atom. The value obtained for the formation energy is -0.332 eV/atom. The calculation puts the total energy at -55.42 eV/f.u.